# La6ZnPd

A relaxed La6ZnPd crystal (PBE, Alexandria via LeMat-Bulk).

CIF file:
```
data_La6ZnPd
_chemical_formula_sum 'La12 Zn2 Pd2'
_space_group_name_H-M_alt 'C 1 2/m 1'
_space_group_IT_number 12
_cell_length_a 7.474
_cell_length_b 7.482
_cell_length_c 9.665
_cell_angle_alpha 90.00
_cell_angle_beta 112.70
_cell_angle_gamma 90.00
loop_
_space_group_symop_operation_xyz
'x,y,z'
'-x,-y,-z'
'-x,y,-z'
'x,-y,z'
'x+1/2,y+1/2,z'
'-x+1/2,-y+1/2,-z'
'-x+1/2,y+1/2,-z'
'x+1/2,-y+1/2,z'
loop_
_atom_site_label
_atom_site_fract_x
_atom_site_fract_y
_atom_site_fract_z
_atom_site_occupancy
La1 0.148 0.250 0.296 1
La2 0.248 0.000 0.997 1
Zn1 0.000 0.000 0.500 1
Pd1 0.000 0.500 0.500 1
```

Output
Energy of formation from the pure elements (eV per atom): -0.242
Density (g/cm³): 6.7
Calculated volume (Å³ per cell): 498.57